## BaOsSeN2 (GGA-PBE)

Data for a relaxed BaOsSeN2 crystal.

a b c (Å): 4.305 4.305 6.584
angles (deg): 90.00 90.00 90.00
Positions (direct):
Ba 0.000 0.000 0.000
Os 0.500 0.500 0.500
Se 0.000 0.000 0.500
N 0.000 0.500 0.000
N 0.500 0.000 0.000

Results
Total magnetization, μB/f.u.: 4.9
E_tot, eV/atom: -4.07
ΔE_f (raw), kJ per mole of atoms: 249.52
ΔE to the lowest computed polymorph, meV/atom: 2474
Symmetry: No. 123

## BaOsSeN2 (GGA-PBE)

Data for a relaxed BaOsSeN2 crystal.

a b c (Å): 4.092 4.092 5.330
angles (deg): 90.00 90.00 90.00
Positions (direct):
Ba 0.000 0.000 0.000
Os 0.500 0.500 0.500
Se 0.500 0.500 0.000
N 0.000 0.500 0.500
N 0.500 0.000 0.500

Results
Total magnetization, μB/f.u.: 0.4
E_tot, eV/atom: -6.55
ΔE_f (raw), kJ per mole of atoms: 10.80
ΔE to the lowest computed polymorph, meV/atom: 0
Symmetry: No. 123

## BaOsSe2N (GGA-PBE)

Data for a relaxed BaOsSe2N crystal.

a b c (Å): 6.023 6.023 4.674
angles (deg): 90.00 90.00 90.00
Positions (direct):
Ba 0.000 0.000 0.000
Os 0.500 0.500 0.500
Se 0.000 0.500 0.000
Se 0.500 0.000 0.000
N 0.000 0.000 0.500

Results
Total magnetization, μB/f.u.: 6.3
E_tot, eV/atom: -3.55
ΔE_f (raw), kJ per mole of atoms: 206.23
ΔE to the lowest computed polymorph, meV/atom: 2578
Symmetry: No. 123